The following is a DFT calculation (PBE) of a relaxed Rb2In3HgBi4 crystal.

Values from the calculation:
N(E_F)	3.90	states/eV per cell
total moment	0.0	Bohr magnetons per cell
calculated formation energy	-0.158	eV per atom
space group	P-4m2

```
Rb2In3HgBi4
1.0
5.1909 0.0000 0.0000
0.0000 5.1909 0.0000
0.0000 0.0000 13.6971
Rb In Hg Bi
2 3 1 4
Direct
0.0000 0.5000 0.2421
0.5000 0.0000 0.7579
0.0000 0.0000 0.0000
0.0000 0.5000 0.6391
0.5000 0.0000 0.3609
0.5000 0.5000 0.0000
0.0000 0.0000 0.5000
0.0000 0.5000 0.8706
0.5000 0.0000 0.1294
0.5000 0.5000 0.5000
```